MgAlCd2 | GGA-PBE | relaxed

## Properties
Space-group type: F-43m (216)
Total magnetic moment (μB/f.u.): 0.000
Formation energy from the elements (eV/atom): 0.090
DOS at the Fermi energy (states/eV/cell): 7.277

Geometry as extended XYZ:
```
16
Lattice="7.002 0.000 0.000 0.000 7.002 0.000 0.000 0.000 7.002" Properties=species:S:1:pos:R:3 pbc="T T T"
Mg 0.000 0.000 0.000
Mg 0.000 3.501 3.501
Mg 3.501 0.000 3.501
Mg 3.501 3.501 0.000
Al 1.751 1.751 1.751
Al 1.751 5.252 5.252
Al 5.252 1.751 5.252
Al 5.252 5.252 1.751
Cd 0.000 0.000 3.501
Cd 0.000 3.501 0.000
Cd 1.751 1.751 5.252
Cd 1.751 5.252 1.751
Cd 3.501 0.000 0.000
Cd 3.501 3.501 3.501
Cd 5.252 1.751 1.751
Cd 5.252 5.252 5.252
```


AlCr2Br | GGA-PBE | relaxed

## Properties
Space-group type: P4mm (99)
Total magnetic moment (μB/f.u.): 1.563
Formation energy without anion corrections (eV/atom): 0.186
DOS at the Fermi energy (states/eV/cell): 2.251

Geometry as extended XYZ:
```
4
Lattice="3.150 0.000 0.000 0.000 3.150 0.000 0.000 0.000 7.663" Properties=species:S:1:pos:R:3 pbc="T T T"
Al 0.000 0.000 0.000
Cr 0.000 0.000 4.994
Cr 1.575 1.575 6.348
Br 1.575 1.575 3.343
```


LiTlW2 | GGA-PBE | relaxed

## Properties
Space-group type: P4/mmm (123)
Total magnetic moment (μB/f.u.): 0.000
Formation energy from the elements (eV/atom): 0.623
DOS at the Fermi energy (states/eV/cell): 2.089

Geometry as extended XYZ:
```
4
Lattice="3.790 0.000 0.000 0.000 3.790 0.000 0.000 0.000 4.684" Properties=species:S:1:pos:R:3 pbc="T T T"
Li 0.000 0.000 0.000
Tl 1.895 1.895 0.000
W 0.000 1.895 2.342
W 1.895 0.000 2.342
```


Ac4DyY3 | GGA-PBE | relaxed

## Properties
Space-group type: Pmmn (59)
Total magnetic moment (μB/f.u.): 0.001
Formation energy from the elements (eV/atom): 0.059
DOS at the Fermi energy (states/eV/cell): 30.347

Geometry as extended XYZ:
```
16
Lattice="5.405 0.000 0.000 0.000 10.810 0.000 0.000 0.000 10.491" Properties=species:S:1:pos:R:3 pbc="T T T"
Ac 1.351 10.807 1.435
Ac 1.351 2.703 9.046
Ac 1.351 5.409 1.435
Ac 1.351 8.108 9.062
Ac 4.054 0.004 9.056
Ac 4.054 2.703 1.428
Ac 4.054 5.401 9.056
Ac 4.054 8.108 1.445
Dy 1.351 8.108 4.093
Dy 4.054 2.703 6.398
Y 1.351 10.808 6.396
Y 1.351 2.703 4.100
Y 1.351 5.408 6.396
Y 4.054 0.002 4.095
Y 4.054 5.403 4.095
Y 4.054 8.108 6.391
```


SrGa2PdRh | GGA-PBE | relaxed

## Properties
Space-group type: I-4m2 (119)
Total magnetic moment (μB/f.u.): 0.000
Formation energy from the elements (eV/atom): -0.704
DOS at the Fermi energy (states/eV/cell): 2.720

Geometry as extended XYZ:
```
10
Lattice="4.293 0.000 0.000 0.000 4.293 0.000 0.000 0.000 10.816" Properties=species:S:1:pos:R:3 pbc="T T T"
Sr 0.000 0.000 0.000
Sr 2.146 2.146 5.408
Ga 0.000 0.000 4.016
Ga 0.000 0.000 6.800
Ga 2.146 2.146 1.392
Ga 2.146 2.146 9.424
Pd 0.000 2.146 8.112
Pd 2.146 0.000 2.704
Rh 0.000 2.146 2.704
Rh 2.146 0.000 8.112
```


BaCdGaBi2 | GGA-PBE | relaxed

## Properties
Space-group type: Cmme (67)
Total magnetic moment (μB/f.u.): 0.000
Formation energy from the elements (eV/atom): -0.233
DOS at the Fermi energy (states/eV/cell): 4.081

Geometry as extended XYZ:
```
10
Lattice="3.183 -7.735 0.000 3.183 7.735 0.000 0.000 0.000 6.984" Properties=species:S:1:pos:R:3 pbc="T T T"
Ba 3.183 3.868 5.276
Ba 3.183 -3.868 1.708
Cd 1.592 0.000 3.492
Cd 4.775 0.000 3.492
Ga 0.000 0.000 0.000
Ga 3.183 0.000 0.000
Bi 3.183 5.603 1.847
Bi 3.183 2.132 1.847
Bi 3.183 -2.132 5.137
Bi 3.183 -5.603 5.137
```


MgTlTe2 | GGA-PBE | relaxed

## Properties
Space-group type: P2/m (10)
Total magnetic moment (μB/f.u.): 0.000
Formation energy without anion corrections (eV/atom): -0.338
DOS at the Fermi energy (states/eV/cell): 1.635

Geometry as extended XYZ:
```
4
Lattice="4.227 0.000 0.000 0.000 4.117 0.000 -1.441 0.000 7.115" Properties=species:S:1:pos:R:3 pbc="T T T"
Mg 0.000 0.000 0.000
Tl -0.721 0.000 3.557
Te 1.392 2.059 1.492
Te 1.393 2.059 5.623
```


TaReBi3 | GGA-PBE | relaxed

## Properties
Space-group type: Pm-3m (221)
Total magnetic moment (μB/f.u.): 4.057
Formation energy from the elements (eV/atom): 1.638
DOS at the Fermi energy (states/eV/cell): 4.413

Geometry as extended XYZ:
```
5
Lattice="5.463 0.000 0.000 0.000 5.463 0.000 0.000 0.000 5.463" Properties=species:S:1:pos:R:3 pbc="T T T"
Ta 0.000 0.000 0.000
Re 2.732 2.732 2.732
Bi 0.000 0.000 2.732
Bi 0.000 2.732 0.000
Bi 2.732 0.000 0.000
```


LiTlF2 | GGA-PBE | relaxed

## Properties
Space-group type: R3m (160)
Total magnetic moment (μB/f.u.): 0.000
Formation energy without anion corrections (eV/atom): -2.174
DOS at the Fermi energy (states/eV/cell): 0.000

Geometry as extended XYZ:
```
12
Lattice="3.305 0.000 0.000 -1.653 2.863 0.000 0.000 0.000 18.503" Properties=species:S:1:pos:R:3 pbc="T T T"
Li 0.000 0.000 0.000
Li 0.000 1.908 12.335
Li 1.653 0.954 6.168
Tl 0.000 0.000 3.115
Tl 0.000 1.908 15.450
Tl 1.653 0.954 9.282
F 0.000 0.000 7.278
F 0.000 0.000 11.246
F 0.000 1.908 1.111
F 0.000 1.908 5.079
F 1.653 0.954 13.446
F 1.653 0.954 17.414
```


PmHo12Tm7 | GGA-PBE | relaxed

## Properties
Space-group type: R-3 (148)
Total magnetic moment (μB/f.u.): 0.000
Formation energy from the elements (eV/atom): 0.243
DOS at the Fermi energy (states/eV/cell): 34.410

Geometry as extended XYZ:
```
20
Lattice="5.933 3.426 5.266 -5.933 3.426 5.266 0.000 -6.851 5.266" Properties=species:S:1:pos:R:3 pbc="T T T"
Pm 0.000 0.000 0.000
Ho -1.938 -0.540 4.635
Ho -0.715 -3.204 7.073
Ho -3.133 -0.983 8.726
Ho 1.437 -1.408 4.635
Ho -2.417 2.222 7.073
Ho 0.501 1.948 4.635
Ho -0.501 -1.948 11.163
Ho 2.417 -2.222 8.726
Ho -1.437 1.408 11.163
Ho 3.133 0.983 7.073
Ho 0.715 3.204 8.726
Ho 1.938 0.540 11.163
Tm -5.195 0.495 6.581
Tm -3.026 -4.251 9.217
Tm 2.169 -4.746 6.581
Tm 0.000 0.000 7.899
Tm -2.169 4.746 9.217
Tm 3.026 4.251 6.581
Tm 5.195 -0.495 9.217
```


RbSr2Sb2 | GGA-PBE | relaxed

## Properties
Space-group type: I4/mmm (139)
Total magnetic moment (μB/f.u.): 0.000
Formation energy without anion corrections (eV/atom): -0.526
DOS at the Fermi energy (states/eV/cell): 5.804

Geometry as extended XYZ:
```
10
Lattice="6.259 0.000 0.000 0.000 6.259 0.000 0.000 0.000 12.519" Properties=species:S:1:pos:R:3 pbc="T T T"
Rb 0.000 0.000 0.000
Rb 3.130 3.130 6.260
Sr 0.000 0.000 3.943
Sr 0.000 0.000 8.576
Sr 3.130 3.130 2.316
Sr 3.130 3.130 10.203
Sb 0.000 3.130 3.130
Sb 0.000 3.130 9.390
Sb 3.130 0.000 3.130
Sb 3.130 0.000 9.390
```


CaPrNpO6 | GGA-PBE | relaxed

## Properties
Space-group type: P-31c (163)
Total magnetic moment (μB/f.u.): 0.000
Formation energy without anion corrections (eV/atom): -2.937

Geometry as extended XYZ:
```
18
Lattice="5.799 0.000 0.000 -2.900 5.022 0.000 0.000 0.000 9.779" Properties=species:S:1:pos:R:3 pbc="T T T"
Ca 0.000 3.348 2.445
Ca 2.900 1.674 7.334
Pr 0.000 0.000 0.000
Pr 0.000 0.000 4.889
Np 0.000 3.348 7.334
Np 2.900 1.674 2.445
O -0.839 1.865 6.230
O -1.705 3.363 8.438
O 0.839 1.865 8.438
O -0.865 4.817 6.230
O 2.034 0.205 1.341
O 1.195 1.659 3.549
O 1.705 3.363 6.230
O 0.865 4.817 8.438
O 3.765 0.205 3.549
O 2.060 3.158 1.341
O 4.604 1.659 1.341
O 3.739 3.158 3.549
```


Sr2AlZnCd6 | GGA-PBE | relaxed

## Properties
Space-group type: Pmmn (59)
Total magnetic moment (μB/f.u.): 0.000
Formation energy from the elements (eV/atom): -0.141
DOS at the Fermi energy (states/eV/cell): 10.148

Geometry as extended XYZ:
```
20
Lattice="7.770 0.000 0.000 0.000 9.603 0.000 0.000 0.000 7.273" Properties=species:S:1:pos:R:3 pbc="T T T"
Sr 1.942 0.150 1.695
Sr 1.942 4.651 1.695
Sr 5.827 4.952 5.578
Sr 5.827 9.453 5.578
Al 1.942 7.202 6.705
Al 5.827 2.401 0.568
Zn 1.942 2.401 4.071
Zn 5.827 7.202 3.202
Cd 0.409 2.401 6.477
Cd 0.516 7.202 4.034
Cd 1.942 4.813 5.358
Cd 1.942 9.592 5.358
Cd 3.369 7.202 4.034
Cd 3.476 2.401 6.477
Cd 4.294 7.202 0.796
Cd 4.401 2.401 3.239
Cd 5.827 0.011 1.915
Cd 5.827 4.790 1.915
Cd 7.254 2.401 3.239
Cd 7.361 7.202 0.796
```


Ba2LiTlH | GGA-PBE | relaxed

## Properties
Space-group type: P4/mmm (123)
Uncorrected energy (eV per cell): -12.40
Total magnetic moment (μB/f.u.): 0.000
DOS at the Fermi energy (states/eV/cell): 3.253

Geometry as extended XYZ:
```
5
Lattice="5.658 0.000 0.000 0.000 5.658 0.000 0.000 0.000 4.884" Properties=species:S:1:pos:R:3 pbc="T T T"
Ba 0.000 2.829 0.000
Ba 2.829 0.000 0.000
Li 0.000 0.000 2.442
Tl 2.829 2.829 2.442
H 2.829 2.829 0.000
```


CoSi2P | GGA-PBE | relaxed

## Properties
Space-group type: Cm (8)
Total magnetic moment (μB/f.u.): 0.000
Formation energy without anion corrections (eV/atom): 0.037
DOS at the Fermi energy (states/eV/cell): 2.669

Geometry as extended XYZ:
```
8
Lattice="7.110 0.000 0.000 0.000 3.233 0.000 -2.039 0.000 5.011" Properties=species:S:1:pos:R:3 pbc="T T T"
Co 0.000 0.000 0.000
Co 3.555 1.617 0.000
Si 1.407 1.617 1.197
Si 1.891 0.000 3.080
Si 4.962 0.000 1.197
Si 5.447 1.617 3.080
P 0.060 0.000 4.433
P 3.616 1.617 4.433
```


TmAsPd6 | GGA-PBE | relaxed

## Properties
Space-group type: P4/mmm (123)
Total magnetic moment (μB/f.u.): 0.000
Formation energy from the elements (eV/atom): -0.549
DOS at the Fermi energy (states/eV/cell): 4.590

Geometry as extended XYZ:
```
8
Lattice="4.036 0.000 0.000 0.000 4.036 0.000 0.000 0.000 8.024" Properties=species:S:1:pos:R:3 pbc="T T T"
Tm 0.000 0.000 0.000
As 0.000 0.000 4.012
Pd 0.000 2.018 2.094
Pd 0.000 2.018 5.930
Pd 2.018 0.000 2.094
Pd 2.018 0.000 5.930
Pd 2.018 2.018 0.000
Pd 2.018 2.018 4.012
```


YNCl | GGA-PBE | relaxed

## Properties
Space-group type: P2_1/m (11)
Total magnetic moment (μB/f.u.): 0.312
Formation energy without anion corrections (eV/atom): -1.538
DOS at the Fermi energy (states/eV/cell): 1.678

Geometry as extended XYZ:
```
18
Lattice="7.002 0.000 0.000 0.000 3.849 0.000 -0.516 0.000 14.106" Properties=species:S:1:pos:R:3 pbc="T T T"
Y 1.007 0.962 6.562
Y 1.277 2.887 9.869
Y 1.566 0.962 13.605
Y 4.920 2.887 0.501
Y 5.209 0.962 4.237
Y 5.480 2.887 7.544
N 0.707 2.887 7.678
N 2.063 2.887 11.963
N 2.839 2.887 13.007
N 3.648 0.962 1.099
N 4.423 0.962 2.143
N 5.779 0.962 6.429
Cl 0.155 2.887 4.159
Cl 0.810 2.887 1.065
Cl 3.131 0.962 8.931
Cl 3.355 2.887 5.175
Cl 5.676 0.962 13.042
Cl 6.331 0.962 9.948
```


TlCuC | GGA-PBE | relaxed

## Properties
Space-group type: P-1 (2)
Total magnetic moment (μB/f.u.): 0.000
Formation energy from the elements (eV/atom): 1.036
DOS at the Fermi energy (states/eV/cell): 1.923

Geometry as extended XYZ:
```
6
Lattice="3.706 0.000 0.000 1.827 5.791 0.000 1.842 -0.006 6.152" Properties=species:S:1:pos:R:3 pbc="T T T"
Tl 1.813 2.891 1.317
Tl 5.562 2.894 4.836
Cu 3.675 5.040 3.072
Cu 3.700 0.745 3.080
C 1.848 1.265 3.077
C 5.527 4.520 3.075
```


V3CrBr | GGA-PBE | relaxed

## Properties
Space-group type: Pm-3m (221)
Total magnetic moment (μB/f.u.): 1.192
Formation energy without anion corrections (eV/atom): 1.120
DOS at the Fermi energy (states/eV/cell): 5.548

Geometry as extended XYZ:
```
5
Lattice="4.445 0.000 0.000 0.000 4.445 0.000 0.000 0.000 4.445" Properties=species:S:1:pos:R:3 pbc="T T T"
V 0.000 0.000 2.222
V 0.000 2.222 0.000
V 2.222 0.000 0.000
Cr 0.000 0.000 0.000
Br 2.222 2.222 2.222
```


Cr2ReCl | GGA-PBE | relaxed

## Properties
Space-group type: R-3m (166)
Total magnetic moment (μB/f.u.): 0.002
Formation energy without anion corrections (eV/atom): 0.356
DOS at the Fermi energy (states/eV/cell): 14.895

Geometry as extended XYZ:
```
12
Lattice="2.787 0.000 0.000 -1.393 2.414 0.000 0.000 0.000 24.023" Properties=species:S:1:pos:R:3 pbc="T T T"
Cr 0.000 0.000 5.936
Cr 0.000 0.000 18.087
Cr 0.000 1.609 10.080
Cr 0.000 1.609 21.951
Cr 1.393 0.805 2.072
Cr 1.393 0.805 13.943
Re 0.000 0.000 0.000
Re 0.000 1.609 16.015
Re 1.393 0.805 8.008
Cl 0.000 0.000 12.011
Cl 0.000 1.609 4.004
Cl 1.393 0.805 20.019
```


MgTa2Ir | GGA-PBE | relaxed

## Properties
Space-group type: I-42d (122)
Total magnetic moment (μB/f.u.): 0.000
Formation energy from the elements (eV/atom): 0.284
DOS at the Fermi energy (states/eV/cell): 16.009

Geometry as extended XYZ:
```
16
Lattice="7.702 0.000 0.000 0.000 7.702 0.000 0.000 0.000 5.379" Properties=species:S:1:pos:R:3 pbc="T T T"
Mg 0.000 0.000 0.000
Mg 0.000 3.851 1.345
Mg 3.851 0.000 4.034
Mg 3.851 3.851 2.689
Ta 1.493 1.926 3.362
Ta 1.926 5.344 4.706
Ta 1.926 6.209 2.017
Ta 2.358 1.926 0.672
Ta 5.344 5.777 0.672
Ta 5.777 1.493 2.017
Ta 5.777 2.358 4.706
Ta 6.209 5.777 3.362
Ir 0.000 0.000 2.689
Ir 0.000 3.851 4.034
Ir 3.851 0.000 1.345
Ir 3.851 3.851 0.000
```


ZnCuGe | GGA-PBE | relaxed

## Properties
Space-group type: Imm2 (44)
Total magnetic moment (μB/f.u.): 0.000
Formation energy from the elements (eV/atom): 0.103
DOS at the Fermi energy (states/eV/cell): 1.237

Geometry as extended XYZ:
```
6
Lattice="3.315 0.000 0.000 0.000 4.254 0.000 0.000 0.000 6.815" Properties=species:S:1:pos:R:3 pbc="T T T"
Zn 0.000 0.000 0.000
Zn 1.658 2.127 3.408
Cu 0.000 0.000 2.764
Cu 1.658 2.127 6.172
Ge 0.000 2.127 1.367
Ge 1.658 0.000 4.775
```


NaSb2Pd3 | GGA-PBE | relaxed

## Properties
Space-group type: C2/m (12)
Total magnetic moment (μB/f.u.): 0.000
Formation energy without anion corrections (eV/atom): -0.458
DOS at the Fermi energy (states/eV/cell): 8.249

Geometry as extended XYZ:
```
18
Lattice="8.953 -2.114 0.000 8.953 2.114 0.000 -2.734 0.000 9.869" Properties=species:S:1:pos:R:3 pbc="T T T"
Na 0.000 0.000 0.000
Na 1.070 0.000 7.077
Na 14.102 0.000 2.792
Sb 3.046 0.000 1.282
Sb 5.008 0.000 5.306
Sb 7.559 0.000 2.163
Sb 7.612 0.000 7.706
Sb 10.164 0.000 4.563
Sb 12.125 0.000 8.587
Pd -0.100 0.000 3.167
Pd 2.753 0.000 3.936
Pd 5.555 0.000 0.368
Pd 4.758 0.000 7.986
Pd 7.586 0.000 4.934
Pd 10.413 0.000 1.883
Pd 9.616 0.000 9.501
Pd 12.419 0.000 5.932
Pd 15.271 0.000 6.701
```